This record from Alexandria via LeMat-Bulk describes a geometry-optimized Cs2NbBr2Cl4 structure. The functional is GGA-PBE.

The structure belongs to space group I4/mmm (No. 139); the cell edges are 7.665, 7.665 and 10.837 Å and the angles 90.00°, 90.00° and 90.00°. The distinct sites, in fractional coordinates, are Cs at (0.000, 0.500, 0.250), Nb at (0.000, 0.000, 0.000), Br at (0.000, 0.000, 0.242) and Cl at (0.225, 0.225, 0.000).

The value obtained for the uncorrected formation energy is -1.55 eV per atom. The density of states at the Fermi level is 13.07 states/eV/cell. The value obtained for the magnetization is 0.1112 μB per atom.